LaNdGeBr, relaxed, DFT PBE-GGA; DOS at the Fermi energy = 4.004 states/eV per cell; electronic total energy = -4.8817 eV per atom
1.0
6.038 0.000 0.000
0.000 5.169 0.000
0.000 0.000 8.982
La Nd Ge Br
2 2 2 2
Direct
0.000 0.000 0.000 La
0.000 0.500 0.500 La
0.500 0.000 0.667 Nd
0.500 0.500 0.167 Nd
0.500 0.000 0.000 Ge
0.500 0.500 0.500 Ge
0.000 0.000 0.667 Br
0.000 0.500 0.167 Br